A crystal of HfPt4 relaxed with PBEsol. Source: the Alexandria database, functional SCAN.

Cell lengths 3.958, 3.958, 19.902 Å; angles 90.00, 90.00, 90.00 degrees
Sites, in units of the cell vectors:
1 Hf 0.000 0.000 0.101
2 Hf 0.000 0.000 0.304
3 Hf 0.000 0.000 0.696
4 Hf 0.000 0.000 0.899
5 Pt 0.000 0.000 0.500
6 Pt 0.000 0.500 0.000
7 Pt 0.000 0.500 0.200
8 Pt 0.000 0.500 0.399
9 Pt 0.000 0.500 0.601
10 Pt 0.000 0.500 0.800
11 Pt 0.500 0.000 0.000
12 Pt 0.500 0.000 0.200
13 Pt 0.500 0.000 0.399
14 Pt 0.500 0.000 0.601
15 Pt 0.500 0.000 0.800
16 Pt 0.500 0.500 0.100
17 Pt 0.500 0.500 0.300
18 Pt 0.500 0.500 0.500
19 Pt 0.500 0.500 0.700
20 Pt 0.500 0.500 0.900

A crystal of HfPt3 relaxed with PBEsol. Source: the Alexandria database, functional SCAN.

Cell lengths 5.627, 5.627, 4.593 Å; angles 90.00, 90.00, 120.00 degrees
Sites, in units of the cell vectors:
1 Hf 0.333 0.667 0.250
2 Hf 0.667 0.333 0.750
3 Pt 0.165 0.329 0.750
4 Pt 0.165 0.835 0.750
5 Pt 0.329 0.165 0.250
6 Pt 0.671 0.835 0.750
7 Pt 0.835 0.165 0.250
8 Pt 0.835 0.671 0.250

Number 1: Fermi-level density of states 10.4 states/eV/cell, final energy -2.560 hartree per atom, calculated formation energy -978 meV per atom. Number 2: Fermi-level density of states 2.3 states/eV/cell, final energy -2.554 hartree per atom, calculated formation energy -1196 meV per atom.